Run w
Compound: TaTiTl2
Source: Alexandria via LeMat-Bulk
Functional: PBE
Structure: relaxed

Unit cell a=6.8707 b=6.8707 c=6.8707 alpha=90.00 beta=90.00 gamma=90.00
Space group Fm-3m (No. 225)
Symmetry-distinct sites (fractional):
Ta  0.0000  0.0000  0.0000 x4
Ti  0.0000  0.0000  0.5000 x4
Tl  0.2500  0.2500  0.2500 x8

Output
- volume (Å³/f.u.) = 81.1

***

Run x
Compound: TaTiTl2
Source: Alexandria via LeMat-Bulk
Functional: PBE
Structure: relaxed

Unit cell a=7.7003 b=7.7003 c=5.9468 alpha=90.00 beta=90.00 gamma=90.00
Space group I-42d (No. 122)
Symmetry-distinct sites (fractional):
Ta  0.0000  0.0000  0.0000 x4
Ti  0.0000  0.0000  0.5000 x4
Tl  0.2445  0.2500  0.6250 x8

Output
- volume (Å³/f.u.) = 88.2

***

In terms of stability, run w leads; the second structure lies 0.118 eV/atom higher.

***

Run w
Compound: Ta2TiTl
Source: Alexandria via LeMat-Bulk
Functional: PBE
Structure: relaxed

Unit cell a=3.9847 b=3.9847 c=20.5649 alpha=90.00 beta=90.00 gamma=90.00
Space group I-42d (No. 122)
Symmetry-distinct sites (fractional):
Ta  0.2411  0.2500  0.1250 x8
Ti  0.0000  0.0000  0.0000 x4
Tl  0.0000  0.0000  0.5000 x4

Output
- volume (Å³/f.u.) = 81.6

***

Run x
Compound: Ta2TiTl
Source: Alexandria via LeMat-Bulk
Functional: PBE
Structure: relaxed

Unit cell a=6.7060 b=6.7060 c=6.7060 alpha=90.00 beta=90.00 gamma=90.00
Space group Fm-3m (No. 225)
Symmetry-distinct sites (fractional):
Ta  0.2500  0.2500  0.2500 x8
Ti  0.0000  0.0000  0.0000 x4
Tl  0.0000  0.0000  0.5000 x4

Output
- volume (Å³/f.u.) = 75.4

***

In terms of stability, run x leads; the second structure lies 0.141 eV/atom higher.

***

Run w
Compound: Ta3TiTl
Source: Alexandria via LeMat-Bulk
Functional: PBE
Structure: relaxed

Unit cell a=5.0505 b=5.0505 c=5.0505 alpha=90.00 beta=90.00 gamma=90.00
Space group Pm-3m (No. 221)
Symmetry-distinct sites (fractional):
Ta  0.0000  0.0000  0.5000 x3
Ti  0.5000  0.5000  0.5000 x1
Tl  0.0000  0.0000  0.0000 x1

Output
- volume (Å³/f.u.) = 128.8

***

Run x
Compound: Ta3TiTl
Source: Alexandria via LeMat-Bulk
Functional: PBE
Structure: relaxed

Unit cell a=4.7537 b=4.7537 c=4.7537 alpha=90.00 beta=90.00 gamma=90.00
Space group Pm-3m (No. 221)
Symmetry-distinct sites (fractional):
Ta  0.0000  0.0000  0.5000 x3
Ti  0.0000  0.0000  0.0000 x1
Tl  0.5000  0.5000  0.5000 x1

Output
- volume (Å³/f.u.) = 107.4

***

In terms of stability, run x leads; the second structure lies 0.961 eV/atom higher.

***

Run w
Compound: Ta2Ti2Tl
Source: Alexandria via LeMat-Bulk
Functional: PBE
Structure: relaxed

Unit cell a=7.2776 b=7.2776 c=3.5615 alpha=90.00 beta=90.00 gamma=90.00
Space group P4/mbm (No. 127)
Symmetry-distinct sites (fractional):
Ta  0.1678  0.3322  0.0000 x4
Ti  0.1281  0.6281  0.5000 x4
Tl  0.0000  0.0000  0.5000 x2

Output
- volume (Å³/f.u.) = 94.3

***

Run x
Compound: Ta2Ti2Tl
Source: Alexandria via LeMat-Bulk
Functional: PBE
Structure: relaxed

Unit cell a=7.4431 b=7.4431 c=3.5262 alpha=90.00 beta=90.00 gamma=90.00
Space group P4/mbm (No. 127)
Symmetry-distinct sites (fractional):
Ta  0.1252  0.3748  0.0000 x4
Ti  0.1694  0.6694  0.5000 x4
Tl  0.0000  0.0000  0.0000 x2

Output
- volume (Å³/f.u.) = 97.7

***

In terms of stability, run w leads; the second structure lies 0.010 eV/atom higher.